## SrBe4Te3O12 (PBE-GGA)

Data for an optimized crystal structure of SrBe4Te3O12.

Lattice parameters (Å, degrees): 10.3619 10.3619 8.2005 90.00 90.00 120.00
Space group R32 (No. 155, hexagonal axes)
One atom of each set of equivalent atoms:
1 Sr 0.0000 0.0000 0.0000 [3 per cell]
2 Be 0.0000 0.0000 0.5000 [3 per cell]
3 Be 0.0000 0.4440 0.5000 [9 per cell]
4 Te 0.0000 0.5465 0.0000 [9 per cell]
5 O 0.0000 0.5954 0.5000 [9 per cell]
6 O 0.0000 0.8496 0.5000 [9 per cell]
7 O 0.0319 0.2140 0.1941 [18 per cell]

Properties
V in Å³ per atom: 12.7
Formation energy without anion corrections in eV/atom: -1.7492
Magnetic moment in μB per formula unit: 0.000